Record 1
Here is a geometry-optimized TbPr2Er2Mg5 structure from Alexandria. Energies are from PBE-GGA.

```
data_TbPr2Er2Mg5
_chemical_formula_sum 'Tb2 Pr4 Er4 Mg10'
_symmetry_space_group_name_H-M 'P 4/m b m'
_symmetry_Int_Tables_number 127
_symmetry_space_group_name_Hall '-P 4 2ab'
_cell_length_a 10.6376
_cell_length_b 10.6376
_cell_length_c 5.0870
_cell_angle_alpha 90.00
_cell_angle_beta 90.00
_cell_angle_gamma 90.00
loop_
_atom_site_label
_atom_site_type_symbol
_atom_site_fract_x
_atom_site_fract_y
_atom_site_fract_z
_atom_site_occupancy
Tb1 Tb 0.0000 0.0000 0.0000 1
Pr1 Pr 0.1763 0.3237 0.0000 1
Er1 Er 0.1201 0.6201 0.0000 1
Mg1 Mg 0.0000 0.5000 0.5000 1
Mg2 Mg 0.0733 0.8027 0.5000 1
```

Values from the calculation:
**Crystal system**: tetragonal
**N(E_F)**: 13.525 states/eV/cell
**ΔH_f (0 K)**: 0.025 eV per atom
**V**: 287.8 Å³/f.u.

Record 2
Here is a geometry-optimized TaSe structure from Alexandria. Energies are from PBE-GGA.

```
data_TaSe
_chemical_formula_sum 'Ta4 Se4'
_symmetry_space_group_name_H-M 'C 1 2/m 1'
_symmetry_Int_Tables_number 12
_cell_length_a 9.1546
_cell_length_b 3.2845
_cell_length_c 4.7979
_cell_angle_alpha 90.00
_cell_angle_beta 104.31
_cell_angle_gamma 90.00
loop_
_symmetry_equiv_pos_as_xyz
'x,y,z'
'-x,-y,-z'
'-x,y,-z'
'x,-y,z'
'x+1/2,y+1/2,z'
'-x+1/2,-y+1/2,-z'
'-x+1/2,y+1/2,-z'
'x+1/2,-y+1/2,z'
loop_
_atom_site_label
_atom_site_type_symbol
_atom_site_fract_x
_atom_site_fract_y
_atom_site_fract_z
_atom_site_occupancy
Ta1 Ta 0.1177 0.0000 0.3247 1
Se1 Se 0.1166 0.5000 0.8145 1
```

Values from the calculation:
**Crystal system**: monoclinic
**N(E_F)**: 4.279 states/eV/cell
**E**: -7.93 eV/atom
**V**: 34.9 Å³/f.u.

Record 3
Here is a geometry-optimized KZrCr structure from Alexandria. Energies are from PBE-GGA.

```
data_KZrCr
_chemical_formula_sum 'K1 Zr1 Cr1'
_symmetry_space_group_name_H-M 'P 3 m 1'
_symmetry_Int_Tables_number 156
_cell_length_a 5.4666
_cell_length_b 5.4666
_cell_length_c 2.9437
_cell_angle_alpha 90.00
_cell_angle_beta 90.00
_cell_angle_gamma 120.00
loop_
_symmetry_equiv_pos_as_xyz
'x,y,z'
'-y,x-y,z'
'-x+y,-x,z'
'-y,-x,z'
'-x+y,y,z'
'x,x-y,z'
loop_
_atom_site_label
_atom_site_type_symbol
_atom_site_fract_x
_atom_site_fract_y
_atom_site_fract_z
_atom_site_occupancy
K1 K 0.0000 0.0000 0.0000 1
Zr1 Zr 0.6667 0.3333 0.3778 1
Cr1 Cr 0.3333 0.6667 0.7914 1
```

Values from the calculation:
**Crystal system**: trigonal
**N(E_F)**: 4.644 states/eV/cell
**Energy above the most stable polymorph in this dataset**: 490.5 meV per atom
**ΔH_f (0 K)**: 1.260 eV per atom
**V**: 76.2 Å³/f.u.

Record 4
Here is a geometry-optimized CdSi2Rh structure from Alexandria. Energies are from PBE-GGA.

```
data_CdSi2Rh
_chemical_formula_sum 'Cd1 Si2 Rh1'
_symmetry_space_group_name_H-M 'P 4/m m m'
_symmetry_Int_Tables_number 123
_symmetry_space_group_name_Hall '-P 4 2'
_cell_length_a 4.0995
_cell_length_b 4.0995
_cell_length_c 3.7888
_cell_angle_alpha 90.00
_cell_angle_beta 90.00
_cell_angle_gamma 90.00
loop_
_atom_site_label
_atom_site_type_symbol
_atom_site_fract_x
_atom_site_fract_y
_atom_site_fract_z
_atom_site_occupancy
Cd1 Cd 0.0000 0.0000 0.0000 1
Si1 Si 0.0000 0.5000 0.5000 1
Rh1 Rh 0.5000 0.5000 0.0000 1
```

Values from the calculation:
**Crystal system**: tetragonal
**N(E_F)**: 2.669 states/eV/cell
**E**: -4.57 eV/atom
**V**: 63.7 Å³/f.u.

Record 5
Here is a geometry-optimized TbTh2Cd8 structure from Alexandria. Energies are from PBE-GGA.

```
data_TbTh2Cd8
_chemical_formula_sum 'Tb2 Th4 Cd16'
_symmetry_space_group_name_H-M 'C 1 2/m 1'
_symmetry_Int_Tables_number 12
_cell_length_a 8.4852
_cell_length_b 15.8943
_cell_length_c 5.3574
_cell_angle_alpha 90.00
_cell_angle_beta 129.09
_cell_angle_gamma 90.00
loop_
_symmetry_equiv_pos_as_xyz
'x,y,z'
'-x,-y,-z'
'-x,y,-z'
'x,-y,z'
'x+1/2,y+1/2,z'
'-x+1/2,-y+1/2,-z'
'-x+1/2,y+1/2,-z'
'x+1/2,-y+1/2,z'
loop_
_atom_site_label
_atom_site_type_symbol
_atom_site_fract_x
_atom_site_fract_y
_atom_site_fract_z
_atom_site_occupancy
Tb1 Tb 0.0000 0.0000 0.0000 1
Th1 Th 0.0000 0.3071 0.5000 1
Cd1 Cd 0.0000 0.1971 0.0000 1
Cd2 Cd 0.0003 0.5000 0.2540 1
Cd3 Cd 0.2233 0.1207 0.7237 1
```

Values from the calculation:
**Crystal system**: monoclinic
**N(E_F)**: 14.020 states/eV/cell
**ΔH_f (0 K)**: -0.130 eV per atom
**V**: 280.4 Å³/f.u.

Record 6
Here is a geometry-optimized PrZn4Ag2 structure from Alexandria. Energies are from PBE-GGA.

```
data_PrZn4Ag2
_chemical_formula_sum 'Pr2 Zn8 Ag4'
_symmetry_space_group_name_H-M 'C 1 2/m 1'
_symmetry_Int_Tables_number 12
_cell_length_a 8.7165
_cell_length_b 6.8825
_cell_length_c 5.4399
_cell_angle_alpha 90.00
_cell_angle_beta 128.06
_cell_angle_gamma 90.00
loop_
_symmetry_equiv_pos_as_xyz
'x,y,z'
'-x,-y,-z'
'-x,y,-z'
'x,-y,z'
'x+1/2,y+1/2,z'
'-x+1/2,-y+1/2,-z'
'-x+1/2,y+1/2,-z'
'x+1/2,-y+1/2,z'
loop_
_atom_site_label
_atom_site_type_symbol
_atom_site_fract_x
_atom_site_fract_y
_atom_site_fract_z
_atom_site_occupancy
Pr1 Pr 0.0000 0.0000 0.0000 1
Zn1 Zn 0.1887 0.1886 0.6885 1
Ag1 Ag 0.0010 0.5000 0.7509 1
```

Values from the calculation:
**Crystal system**: monoclinic
**N(E_F)**: 5.410 states/eV/cell
**Energy above the most stable polymorph in this dataset**: 0.0 meV per atom
**ΔH_f (0 K)**: -0.218 eV per atom
**V**: 128.5 Å³/f.u.